The following is a DFT calculation (GGA-PBE) of a relaxed structure of Cu2Pd4Pt.

## Properties
DFT formation energy in eV per atom: 0.0323
Energy in eV/atom: -4.9683

Cell: 4.9163 8.5381 5.0031 Å, 90.00 95.59 90.00°
Space group Cm (No. 8)
Asymmetric unit:
1 Cu 0.0000 0.2493 0.0000
2 Pd 0.2459 0.5000 0.9944
3 Pd 0.2594 0.3281 0.4977
4 Pd 0.2861 0.0000 0.2639
5 Pt 0.2137 0.0000 0.7490

=====

The following is a DFT calculation (GGA-PBE) of a relaxed structure of Cu2Pd2Pt7.

## Properties
Energy relative to the lowest polymorph listed for this composition in meV/atom: 83
DFT formation energy in eV per atom: 0.1440
Energy in eV/atom: -5.3891

Cell: 9.6505 7.8670 4.7963 Å, 90.00 102.15 90.00°
Space group C2/m (No. 12)
Asymmetric unit:
1 Cu 0.2449 0.0000 0.2462
2 Pd 0.0000 0.1851 0.0000
3 Pt 0.0000 0.0000 0.5000
4 Pt 0.0376 0.5000 0.2711
5 Pt 0.2281 0.1745 0.7437

=====

The following is a DFT calculation (GGA-PBE) of a relaxed structure of Cu4PdPt2.

## Properties
Energy relative to the lowest polymorph listed for this composition in meV/atom: 0
DFT formation energy in eV per atom: -0.0268
Energy in eV/atom: -4.8352

Cell: 6.1564 6.1564 5.4741 Å, 90.00 90.00 90.00°
Space group I4mm (No. 107)
Asymmetric unit:
1 Cu 0.2166 0.2166 0.0000
2 Pd 0.0000 0.0000 0.3344
3 Pt 0.0000 0.5000 0.2525

=====

The following is a DFT calculation (GGA-PBE) of a relaxed structure of Cu2Pd5Pt5.

## Properties
Energy relative to the lowest polymorph listed for this composition in meV/atom: 0
DFT formation energy in eV per atom: -0.0698
Energy in eV/atom: -5.4332

Cell: 11.7069 3.9260 8.7481 Å, 90.00 116.30 90.00°
Space group C2/m (No. 12)
Asymmetric unit:
1 Cu 0.0837 0.0000 0.2514
2 Pd 0.0000 0.0000 0.5000
3 Pd 0.1637 0.0000 0.9987
4 Pd 0.2446 0.5000 0.2479
5 Pt 0.0000 0.5000 0.0000
6 Pt 0.0784 0.5000 0.7497
7 Pt 0.1683 0.5000 0.5013

=====

The following is a DFT calculation (GGA-PBE) of a relaxed structure of CuPd12Pt7.

## Properties
DFT formation energy in eV per atom: 0.1441
Energy in eV/atom: -5.2907

Cell: 9.5360 9.5360 12.3250 Å, 90.00 90.00 120.00°
Space group R-3 (No. 148, hexagonal axes)
Asymmetric unit:
1 Cu 0.0000 0.0000 0.0000
2 Pd 0.0246 0.5673 0.7018
3 Pd 0.0502 0.4682 0.0917
4 Pt 0.0000 0.0000 0.5000
5 Pt 0.0512 0.8673 0.8129

=====

The following is a DFT calculation (GGA-PBE) of a relaxed structure of Cu2Pd3Pt.

## Properties
Energy relative to the lowest polymorph listed for this composition in meV/atom: 298
DFT formation energy in eV per atom: 0.2205
Energy in eV/atom: -4.7481

Cell: 2.6990 21.0944 6.9024 Å, 90.00 90.00 90.00°
Space group Cmcm (No. 63)
Asymmetric unit:
1 Cu 0.0000 0.0243 0.2500
2 Cu 0.0000 0.1515 0.7500
3 Pd 0.0000 0.2464 0.2500
4 Pd 0.0000 0.4350 0.0562
5 Pt 0.0000 0.3621 0.7500

=====

The following is a DFT calculation (GGA-PBE) of a relaxed structure of Cu4PdPt15.

## Properties
DFT formation energy in eV per atom: -0.1092
Energy in eV/atom: -5.7187

Cell: 3.8976 3.8976 19.7522 Å, 90.00 90.00 90.00°
Space group P4/mmm (No. 123)
Asymmetric unit:
1 Cu 0.0000 0.0000 0.0991
2 Cu 0.0000 0.0000 0.2973
3 Pd 0.0000 0.0000 0.5000
4 Pt 0.0000 0.5000 0.0000
5 Pt 0.0000 0.5000 0.1985
6 Pt 0.0000 0.5000 0.3960
7 Pt 0.5000 0.5000 0.0994
8 Pt 0.5000 0.5000 0.2971
9 Pt 0.5000 0.5000 0.5000

=====

The following is a DFT calculation (GGA-PBE) of a relaxed structure of Cu5Pd5Pt2.

## Properties
Energy relative to the lowest polymorph listed for this composition in meV/atom: 37
DFT formation energy in eV per atom: -0.0528
Energy in eV/atom: -4.9300

Cell: 12.5358 4.3876 7.3120 Å, 90.00 122.18 90.00°
Space group C2/m (No. 12)
Asymmetric unit:
1 Cu 0.0000 0.0000 0.0000
2 Cu 0.0764 0.0000 0.3970
3 Cu 0.2408 0.0000 0.2282
4 Pd 0.0000 0.5000 0.5000
5 Pd 0.0798 0.5000 0.9228
6 Pd 0.1782 0.5000 0.3578
7 Pt 0.1639 0.0000 0.8145

=====

The following is a DFT calculation (GGA-PBE) of a relaxed structure of CuPd4Pt3.

## Properties
Energy relative to the lowest polymorph listed for this composition in meV/atom: 123
DFT formation energy in eV per atom: 0.0781
Energy in eV/atom: -5.2956

Cell: 2.6889 5.2422 17.7085 Å, 90.00 90.00 90.00°
Space group Immm (No. 71)
Asymmetric unit:
1 Cu 0.0000 0.0000 0.0000
2 Pd 0.0000 0.2529 0.1218
3 Pt 0.0000 0.0000 0.5000
4 Pt 0.0000 0.5000 0.2610

=====

The following is a DFT calculation (GGA-PBE) of a relaxed structure of Cu2Pd2Pt7.

## Properties
Energy relative to the lowest polymorph listed for this composition in meV/atom: 0
DFT formation energy in eV per atom: 0.0610
Energy in eV/atom: -5.4720

Cell: 7.1101 8.1517 6.1970 Å, 90.00 106.09 90.00°
Space group C2/m (No. 12)
Asymmetric unit:
1 Cu 0.0000 0.2167 0.0000
2 Pd 0.1884 0.5000 0.9726
3 Pt 0.0000 0.5000 0.5000
4 Pt 0.1007 0.0000 0.3388
5 Pt 0.1826 0.2250 0.6864

=====

The following is a DFT calculation (GGA-PBE) of a relaxed structure of CuPd4Pt.

## Properties
Energy relative to the lowest polymorph listed for this composition in meV/atom: 336
DFT formation energy in eV per atom: 0.2863
Energy in eV/atom: -4.8651

Cell: 3.9419 3.9419 6.7411 Å, 90.00 90.00 90.00°
Space group P4/mmm (No. 123)
Asymmetric unit:
1 Cu 0.0000 0.0000 0.0000
2 Pd 0.0000 0.5000 0.2397
3 Pt 0.5000 0.5000 0.5000

=====

The following is a DFT calculation (GGA-PBE) of a relaxed structure of Cu3PdPt.

## Properties
Energy relative to the lowest polymorph listed for this composition in meV/atom: 70
DFT formation energy in eV per atom: -0.0499
Energy in eV/atom: -4.7543

Cell: 11.2984 8.9625 2.7240 Å, 90.00 95.42 90.00°
Space group C2 (No. 5)
Asymmetric unit:
1 Cu 0.1006 0.0000 0.3299
2 Cu 0.1968 0.7500 0.5923
3 Cu 0.2072 0.5069 0.0960
4 Pd 0.1091 0.2451 0.8223
5 Pt 0.0000 0.5010 0.5000
6 Pt 0.0000 0.7626 0.0000